Here is a geometry-optimized Na12ZnSn7 structure from Alexandria. Energies are from PBE.

Properties
DFT formation energy ... -2.4 eV per formula unit
V ... 571 Å³/cell

Lattice parameters (Å, degrees): 8.6101 8.6101 8.6101 103.88 103.88 103.88
Fractional coordinates of all 20 atoms:
Na: 0.7681 0.2720 0.5465
Na: 0.7280 0.4535 0.2319
Na: 0.3720 0.0923 0.2838
Na: 0.9077 0.7162 0.6280
Na: 0.4535 0.2319 0.7280
Na: 0.7162 0.6280 0.9077
Na: 0.2838 0.3720 0.0923
Na: 0.5465 0.7681 0.2720
Na: 0.0923 0.2838 0.3720
Na: 0.6280 0.9077 0.7162
Na: 0.2720 0.5465 0.7681
Na: 0.2319 0.7280 0.4535
Zn: 0.0000 0.0000 0.0000
Sn: 0.1199 0.7064 0.0546
Sn: 0.2936 0.9454 0.8801
Sn: 0.9454 0.8801 0.2936
Sn: 0.5000 0.5000 0.5000
Sn: 0.0546 0.1199 0.7064
Sn: 0.7064 0.0546 0.1199
Sn: 0.8801 0.2936 0.9454

***

Here is a geometry-optimized NaZnSn4 structure from Alexandria. Energies are from PBE.

Properties
DFT formation energy ... 0.8 eV per formula unit
V ... 172 Å³/cell

Lattice parameters (Å, degrees): 6.2462 6.2462 6.2462 60.00 60.00 60.00
Fractional coordinates of all 6 atoms:
Na: 0.2500 0.2500 0.2500
Zn: 0.0000 0.0000 0.0000
Sn: 0.6253 0.6253 0.1240
Sn: 0.6253 0.1240 0.6253
Sn: 0.6253 0.6253 0.6253
Sn: 0.1240 0.6253 0.6253

***

Here is a geometry-optimized NaZn2Sn structure from Alexandria. Energies are from PBE.

Properties
DFT formation energy ... 0.2 eV per formula unit
V ... 83 Å³/cell

Lattice parameters (Å, degrees): 4.1882 4.4407 4.4407 90.00 90.00 90.00
Fractional coordinates of all 4 atoms:
Na: 0.5000 0.5000 0.5000
Zn: 0.0000 0.0000 0.5000
Zn: 0.0000 0.5000 0.0000
Sn: 0.5000 0.0000 0.0000

***

Here is a geometry-optimized Na2ZnSn structure from Alexandria. Energies are from PBE.

Properties
DFT formation energy ... 0.0 eV per formula unit
V ... 101 Å³/cell

Lattice parameters (Å, degrees): 3.3662 5.4898 5.4898 90.00 90.00 90.00
Fractional coordinates of all 4 atoms:
Na: 0.0000 0.0000 0.5000
Na: 0.0000 0.5000 0.0000
Zn: 0.5000 0.5000 0.5000
Sn: 0.5000 0.0000 0.0000

***

Here is a geometry-optimized Na3ZnSn4 structure from Alexandria. Energies are from PBE.

Properties
DFT formation energy ... -0.7 eV per formula unit
V ... 207 Å³/cell

Lattice parameters (Å, degrees): 3.2140 6.4125 10.6838 107.46 98.65 90.00
Fractional coordinates of all 8 atoms:
Na: 0.2398 0.2398 0.4796
Na: 0.7602 0.7602 0.5204
Na: 0.0000 0.5000 0.0000
Zn: 0.5000 0.0000 0.0000
Sn: 0.3817 0.6337 0.7634
Sn: 0.6183 0.3663 0.2366
Sn: 0.6183 0.8703 0.2366
Sn: 0.3817 0.1297 0.7634

***

Here is a geometry-optimized Na2Zn2Sn structure from Alexandria. Energies are from PBE.

Properties
DFT formation energy ... -0.5 eV per formula unit
V ... 238 Å³/cell

Lattice parameters (Å, degrees): 5.8658 5.7598 8.4087 101.38 90.00 120.61
Fractional coordinates of all 10 atoms:
Na: 0.5158 0.2983 0.1531
Na: 0.2175 0.7017 0.3469
Na: 0.4842 0.7017 0.8469
Na: 0.7825 0.2983 0.6531
Zn: 0.7238 0.7216 0.5035
Zn: 0.0022 0.2784 0.9965
Zn: 0.2762 0.2784 0.4965
Zn: 0.9978 0.7216 0.0035
Sn: 0.8473 0.0000 0.2500
Sn: 0.1527 0.0000 0.7500

***

Here is a geometry-optimized NaZn3Sn structure from Alexandria. Energies are from PBE.

Properties
DFT formation energy ... 1.7 eV per formula unit
V ... 150 Å³/cell

Lattice parameters (Å, degrees): 5.3161 5.3161 5.3161 90.00 90.00 90.00
Fractional coordinates of all 5 atoms:
Na: 0.5000 0.5000 0.5000
Zn: 0.0000 0.5000 0.0000
Zn: 0.0000 0.0000 0.5000
Zn: 0.5000 0.0000 0.0000
Sn: 0.0000 0.0000 0.0000

***

Here is a geometry-optimized NaZnSn structure from Alexandria. Energies are from PBE.

Properties
DFT formation energy ... -0.1 eV per formula unit
V ... 74 Å³/cell

Lattice parameters (Å, degrees): 4.7053 4.7053 4.7053 60.00 60.00 60.00
Fractional coordinates of all 3 atoms:
Na: 0.5000 0.5000 0.5000
Zn: 0.2500 0.2500 0.2500
Sn: 0.0000 0.0000 0.0000

***

Here is a geometry-optimized Na2Zn2Sn structure from Alexandria. Energies are from PBE.

Properties
DFT formation energy ... -0.2 eV per formula unit
V ... 242 Å³/cell

Lattice parameters (Å, degrees): 7.0549 7.0549 4.8537 90.00 90.00 90.00
Fractional coordinates of all 10 atoms:
Na: 0.1777 0.6777 0.5000
Na: 0.6777 0.8223 0.5000
Na: 0.8223 0.3223 0.5000
Na: 0.3223 0.1777 0.5000
Zn: 0.3747 0.8747 0.0000
Zn: 0.8747 0.6253 0.0000
Zn: 0.6253 0.1253 0.0000
Zn: 0.1253 0.3747 0.0000
Sn: 0.0000 0.0000 0.0000
Sn: 0.5000 0.5000 0.0000

***

Here is a geometry-optimized NaZnSn3 structure from Alexandria. Energies are from PBE.

Properties
DFT formation energy ... -0.2 eV per formula unit
V ... 140 Å³/cell

Lattice parameters (Å, degrees): 4.9139 4.9315 6.7318 68.50 68.64 90.00
Fractional coordinates of all 5 atoms:
Na: 0.3980 0.2017 0.9088
Zn: 0.0277 0.8307 0.6507
Sn: 0.6427 0.9461 0.4202
Sn: 0.1418 0.4452 0.4219
Sn: 0.7976 0.6015 0.1096

***

Here is a geometry-optimized NaZrZnSn2 structure from Alexandria. Energies are from PBE.

Properties
DFT formation energy ... 3.9 eV per formula unit
V ... 127 Å³/cell

Lattice parameters (Å, degrees): 5.2117 4.6778 5.2117 90.00 90.00 90.00
Fractional coordinates of all 5 atoms:
Na: 0.0000 0.0000 0.0000
Zn: 0.0000 0.5000 0.0000
Sn: 0.0000 0.0000 0.5000
Sn: 0.5000 0.0000 0.0000
Zr: 0.5000 0.5000 0.5000

***

Here is a geometry-optimized NaZrSn structure from Alexandria. Energies are from PBE.

Properties
DFT formation energy ... 0.1 eV per formula unit
V ... 167 Å³/cell

Lattice parameters (Å, degrees): 4.7632 4.7632 8.9508 74.57 74.57 60.00
Fractional coordinates of all 6 atoms:
Zr: 0.2946 0.2946 0.1161
Zr: 0.7054 0.7054 0.8839
Na: 0.1374 0.1374 0.5878
Na: 0.8626 0.8626 0.4122
Sn: 0.4136 0.4136 0.7591
Sn: 0.5864 0.5864 0.2409

***

Here is a geometry-optimized Na2ZrSn2 structure from Alexandria. Energies are from PBE.

Properties
DFT formation energy ... 0.3 eV per formula unit
V ... 252 Å³/cell

Lattice parameters (Å, degrees): 8.6209 8.6209 3.3958 90.00 90.00 90.00
Fractional coordinates of all 10 atoms:
Na: 0.1198 0.6198 0.5000
Na: 0.6198 0.8802 0.5000
Na: 0.8802 0.3802 0.5000
Na: 0.3802 0.1198 0.5000
Sn: 0.3176 0.8176 0.0000
Sn: 0.8176 0.6824 0.0000
Sn: 0.6824 0.1824 0.0000
Sn: 0.1824 0.3176 0.0000
Zr: 0.0000 0.0000 0.0000
Zr: 0.5000 0.5000 0.0000

***

Here is a geometry-optimized NaZrSn2 structure from Alexandria. Energies are from PBE.

Properties
DFT formation energy ... -1.0 eV per formula unit
V ... 99 Å³/cell

Lattice parameters (Å, degrees): 3.3325 3.3325 10.4890 80.86 80.86 60.00
Fractional coordinates of all 4 atoms:
Na: 0.5000 0.5000 0.5000
Sn: 0.7469 0.7469 0.7593
Sn: 0.2531 0.2531 0.2407
Zr: 0.0000 0.0000 0.0000

***

Here is a geometry-optimized NaZrSn2 structure from Alexandria. Energies are from PBE.

Properties
DFT formation energy ... -0.9 eV per formula unit
V ... 95 Å³/cell

Lattice parameters (Å, degrees): 3.2137 5.4509 5.4509 90.00 90.00 90.00
Fractional coordinates of all 4 atoms:
Na: 0.5000 0.0000 0.0000
Sn: 0.0000 0.0000 0.5000
Sn: 0.0000 0.5000 0.0000
Zr: 0.5000 0.5000 0.5000

***

Here is a geometry-optimized NaZrSn3 structure from Alexandria. Energies are from PBE.

Properties
DFT formation energy ... 0.3 eV per formula unit
V ... 175 Å³/cell

Lattice parameters (Å, degrees): 5.5905 5.5905 5.5905 90.00 90.00 90.00
Fractional coordinates of all 5 atoms:
Na: 0.5000 0.5000 0.5000
Sn: 0.0000 0.5000 0.0000
Sn: 0.0000 0.0000 0.5000
Sn: 0.5000 0.0000 0.0000
Zr: 0.0000 0.0000 0.0000

***

Here is a geometry-optimized NaZr3Sn structure from Alexandria. Energies are from PBE.

Properties
DFT formation energy ... 4.5 eV per formula unit
V ... 160 Å³/cell

Lattice parameters (Å, degrees): 5.4241 5.4241 5.4241 90.00 90.00 90.00
Fractional coordinates of all 5 atoms:
Na: 0.5000 0.5000 0.5000
Sn: 0.0000 0.0000 0.0000
Zr: 0.0000 0.5000 0.0000
Zr: 0.0000 0.0000 0.5000
Zr: 0.5000 0.0000 0.0000

***

Here is a geometry-optimized NaZrSn2 structure from Alexandria. Energies are from PBE.

Properties
DFT formation energy ... 0.5 eV per formula unit
V ... 206 Å³/cell

Lattice parameters (Å, degrees): 7.9722 7.9722 6.5026 52.19 52.19 90.00
Fractional coordinates of all 8 atoms:
Na: 0.5000 0.5000 0.0000
Na: 0.2500 0.7500 0.5000
Sn: 0.6231 0.1250 0.2500
Sn: 0.1269 0.6250 0.2500
Sn: 0.3750 0.3769 0.7500
Sn: 0.8750 0.8731 0.7500
Zr: 0.0000 0.0000 0.0000
Zr: 0.7500 0.2500 0.5000

***

Here is a geometry-optimized NaZr2Sn structure from Alexandria. Energies are from PBE.

Properties
DFT formation energy ... 1.5 eV per formula unit
V ... 194 Å³/cell

Lattice parameters (Å, degrees): 8.1832 8.1832 6.4726 50.79 50.79 90.00
Fractional coordinates of all 8 atoms:
Na: 0.5000 0.5000 0.0000
Na: 0.2500 0.7500 0.5000
Sn: 0.0000 0.0000 0.0000
Sn: 0.7500 0.2500 0.5000
Zr: 0.6332 0.1250 0.2500
Zr: 0.1168 0.6250 0.2500
Zr: 0.3750 0.3668 0.7500
Zr: 0.8750 0.8832 0.7500

***

Here is a geometry-optimized NaZrSn2 structure from Alexandria. Energies are from PBE.

Properties
DFT formation energy ... -0.8 eV per formula unit
V ... 102 Å³/cell

Lattice parameters (Å, degrees): 3.7608 3.7608 7.1914 90.00 90.00 90.00
Fractional coordinates of all 4 atoms:
Na: 0.5000 0.5000 0.5000
Sn: 0.0000 0.0000 0.7837
Sn: 0.0000 0.0000 0.2163
Zr: 0.5000 0.5000 0.0000